Crystalline TcH2F at its relaxed geometry. Source: Alexandria via LeMat-Bulk, functional PBE-GGA.

The structure in POSCAR format:
```
TcH2F
1.0
-0.587 -4.202 4.096
5.867 -0.470 0.359
2.665 -0.896 3.708
H Tc F
4 2 2
direct
0.375 0.279 0.750
0.721 0.125 0.250
0.875 0.971 0.750
0.029 0.625 0.250
0.000 0.000 0.000
0.750 0.250 0.500
0.250 0.750 0.500
0.500 0.500 0.000
```

Results
Magnetization = 1.878 μB/f.u.
DFT total energy = -4.85 eV per atom
Excess energy over the best structure of this formula in the dataset = 0.000 eV per atom

---

Crystalline Ca3AlSb at its relaxed geometry. Source: Alexandria via LeMat-Bulk, functional PBE-GGA.

The structure in POSCAR format:
```
Ca3AlSb
1.0
5.860 0.000 0.000
0.000 5.860 0.000
0.000 0.000 5.860
Ca Sb Al
3 1 1
direct
0.500 0.000 0.000
0.000 0.000 0.500
0.000 0.500 0.000
0.000 0.000 0.000
0.500 0.500 0.500
```

Results
Magnetization = 0.000 μB/f.u.
DFT total energy = -2.89 eV per atom
Energy relative to the elements, uncorrected = -0.12 eV/atom
Excess energy over the best structure of this formula in the dataset = 0.000 eV per atom

---

Crystalline NbRh2Br at its relaxed geometry. Source: Alexandria via LeMat-Bulk, functional PBE-GGA.

The structure in POSCAR format:
```
NbRh2Br
1.0
6.158 0.000 0.000
0.000 6.158 0.000
3.079 3.079 4.871
Rh Br Nb
4 2 2
direct
0.640 0.125 0.250
0.875 0.890 0.750
0.110 0.625 0.250
0.375 0.360 0.750
0.250 0.750 0.500
0.500 0.500 0.000
0.000 0.000 0.000
0.750 0.250 0.500
```

Results
Magnetization = 0.000 μB/f.u.
DFT total energy = -6.18 eV per atom
Energy relative to the elements, uncorrected = 0.43 eV/atom
Excess energy over the best structure of this formula in the dataset = 0.007 eV per atom

---

Crystalline BaDyCdGa at its relaxed geometry. Source: Alexandria via LeMat-Bulk, functional PBE-GGA.

The structure in POSCAR format:
```
BaDyCdGa
1.0
5.543 0.000 0.000
2.772 4.801 0.000
2.772 1.600 4.526
Ga Ba Cd Dy
1 1 1 1
direct
0.250 0.250 0.250
0.000 0.000 0.000
0.750 0.750 0.750
0.500 0.500 0.500
```

Results
Magnetization = 0.000 μB/f.u.
Formation energy from the elements = -0.9 eV/f.u.
DFT total energy = -2.85 eV per atom

---

Crystalline CaAc2Mg3 at its relaxed geometry. Source: Alexandria via LeMat-Bulk, functional PBE-GGA.

The structure in POSCAR format:
```
CaAc2Mg3
1.0
4.100 0.000 0.000
0.000 4.100 0.000
0.000 0.000 12.051
Mg Ac Ca
3 2 1
direct
0.000 0.000 0.000
0.000 0.000 0.345
0.000 0.000 0.655
0.500 0.500 0.831
0.500 0.500 0.169
0.500 0.500 0.500
```

Results
Magnetization = 0.000 μB/f.u.
Formation energy from the elements = -0.5 eV/f.u.
DFT total energy = -2.58 eV per atom

---

Crystalline BaSrAgPt at its relaxed geometry. Source: Alexandria via LeMat-Bulk, functional PBE-GGA.

The structure in POSCAR format:
```
BaSrAgPt
1.0
-3.990 -1.491 3.460
1.025 -3.663 3.955
0.176 1.603 5.245
Ba Ag Pt Sr
1 1 1 1
direct
0.000 0.000 0.000
0.250 0.250 0.250
0.750 0.750 0.750
0.500 0.500 0.500
```

Results
Magnetization = 0.000 μB/f.u.
Formation energy from the elements = -1.9 eV/f.u.
DFT total energy = -3.60 eV per atom
Excess energy over the best structure of this formula in the dataset = 0.053 eV per atom

---

Crystalline RbMg4In12 at its relaxed geometry. Source: Alexandria via LeMat-Bulk, functional PBE-GGA.

The structure in POSCAR format:
```
RbMg4In12
1.0
-5.737 -4.545 4.920
-0.078 -3.124 -8.246
8.098 -0.848 3.389
In Rb Mg
12 1 4
direct
0.846 0.356 0.202
0.356 0.202 0.846
0.798 0.154 0.644
0.509 0.154 0.356
0.356 0.509 0.154
0.644 0.798 0.154
0.491 0.846 0.644
0.644 0.491 0.846
0.154 0.644 0.798
0.154 0.356 0.509
0.202 0.846 0.356
0.846 0.644 0.491
0.000 0.000 0.000
0.000 0.000 0.500
0.000 0.500 0.000
0.500 0.000 0.000
0.500 0.500 0.500
```

Results
Magnetization = 0.000 μB/f.u.
Formation energy from the elements = 2.4 eV/f.u.
DFT total energy = -2.22 eV per atom

---

Crystalline La4TbTh at its relaxed geometry. Source: Alexandria via LeMat-Bulk, functional PBE-GGA.

The structure in POSCAR format:
```
La4TbTh
1.0
-4.474 3.562 0.999
-5.292 -2.826 3.240
1.126 4.835 4.672
Tb La Th
1 4 1
direct
0.000 0.000 0.000
0.252 0.414 0.082
0.748 0.586 0.918
0.748 0.919 0.586
0.252 0.081 0.414
0.500 0.500 0.500
```

Results
Magnetization = 0.000 μB/f.u.
Formation energy from the elements = 0.3 eV/f.u.
DFT total energy = -5.24 eV per atom
Excess energy over the best structure of this formula in the dataset = 0.000 eV per atom

---

Crystalline RuWCl2 at its relaxed geometry. Source: Alexandria via LeMat-Bulk, functional PBE-GGA.

The structure in POSCAR format:
```
RuWCl2
1.0
-3.971 -2.060 0.421
-1.328 -1.520 4.015
-3.368 2.034 2.171
W Cl Ru
1 2 1
direct
0.750 0.750 0.750
0.000 0.000 0.000
0.250 0.250 0.250
0.500 0.500 0.500
```

Results
Magnetization = 0.003 μB/f.u.
DFT total energy = -5.51 eV per atom
Energy relative to the elements, uncorrected = 0.97 eV/atom
Excess energy over the best structure of this formula in the dataset = 1.168 eV per atom

---

Crystalline La3AgGe2 at its relaxed geometry. Source: Alexandria via LeMat-Bulk, functional PBE-GGA.

The structure in POSCAR format:
```
La3AgGe2
1.0
4.511 0.000 0.000
0.000 12.127 0.000
0.000 0.000 12.324
Ag Ge La
4 8 12
direct
0.750 0.626 0.372
0.250 0.126 0.128
0.750 0.874 0.872
0.250 0.374 0.628
0.250 0.682 0.484
0.250 0.998 0.314
0.250 0.502 0.814
0.750 0.318 0.516
0.750 0.002 0.686
0.750 0.498 0.186
0.250 0.818 0.984
0.750 0.182 0.016
0.750 0.625 0.948
0.250 0.809 0.706
0.250 0.375 0.052
0.250 0.125 0.552
0.750 0.191 0.294
0.750 0.565 0.630
0.750 0.309 0.794
0.250 0.435 0.370
0.750 0.875 0.448
0.750 0.935 0.130
0.250 0.691 0.206
0.250 0.065 0.870
```

Results
Magnetization = 1.558 μB/f.u.
Formation energy from the elements = -3.9 eV/f.u.
DFT total energy = -5.13 eV per atom

---

Crystalline InAsAu2 at its relaxed geometry. Source: Alexandria via LeMat-Bulk, functional PBE-GGA.

The structure in POSCAR format:
```
InAsAu2
1.0
4.907 0.250 0.720
-2.088 4.447 0.720
0.868 1.446 4.394
Au As In
2 1 1
direct
0.000 0.000 0.000
0.500 0.500 0.000
0.000 0.500 0.500
0.500 0.000 0.500
```

Results
Magnetization = 0.000 μB/f.u.
Formation energy from the elements = 0.1 eV/f.u.
DFT total energy = -3.45 eV per atom

---

Crystalline La7CePm4 at its relaxed geometry. Source: Alexandria via LeMat-Bulk, functional PBE-GGA.

The structure in POSCAR format:
```
La7CePm4
1.0
6.676 -1.783 2.793
0.649 6.006 2.280
3.049 -2.275 11.175
Pm La Ce
4 7 1
direct
0.571 0.272 0.673
0.672 0.219 0.328
0.328 0.781 0.672
0.429 0.728 0.327
0.914 0.724 0.329
0.086 0.276 0.671
0.164 0.226 0.335
0.836 0.774 0.665
0.500 0.000 0.000
0.754 0.499 0.001
0.246 0.501 0.999
0.000 0.000 0.000
```

Results
Magnetization = 0.984 μB/f.u.
Formation energy from the elements = 0.4 eV/f.u.
DFT total energy = -4.92 eV per atom

---

Crystalline Li3GaCl at its relaxed geometry. Source: Alexandria via LeMat-Bulk, functional PBE-GGA.

The structure in POSCAR format:
```
Li3GaCl
1.0
-2.443 4.144 1.683
-4.156 -1.394 -2.600
-1.654 -2.618 4.048
Ga Li Cl
1 3 1
direct
0.000 0.000 0.000
0.500 0.000 0.000
0.000 0.000 0.500
0.000 0.500 0.000
0.500 0.500 0.500
```

Results
Magnetization = 3.000 μB/f.u.
DFT total energy = -2.25 eV per atom
Energy relative to the elements, uncorrected = -0.13 eV/atom
Excess energy over the best structure of this formula in the dataset = 0.440 eV per atom

---

Crystalline SmScZnPd at its relaxed geometry. Source: Alexandria via LeMat-Bulk, functional PBE-GGA.

The structure in POSCAR format:
```
SmScZnPd
1.0
4.928 0.000 0.000
2.464 4.268 0.000
2.464 1.423 4.023
Pd Sm Zn Sc
1 1 1 1
direct
0.500 0.500 0.500
0.750 0.750 0.750
0.000 0.000 0.000
0.250 0.250 0.250
```

Results
Magnetization = 0.000 μB/f.u.
Formation energy from the elements = -2.1 eV/f.u.
DFT total energy = -4.92 eV per atom
Excess energy over the best structure of this formula in the dataset = 0.048 eV per atom